Material: PrThNp2Sb4
Method: DFT, PBE
State: optimized geometry

The structure in POSCAR format:
```
PrThNp2Sb4
1.0
4.467 0.000 0.000
0.000 7.743 0.138
0.000 -2.700 7.255
Pr Th Np Sb
1 1 2 4
direct
0.000 0.000 0.000
0.500 0.500 0.000
0.500 0.000 0.500
0.000 0.500 0.500
0.500 0.255 0.260
0.500 0.745 0.740
0.000 0.249 0.742
0.000 0.751 0.258
```

Computed properties:
Calculated density (g/cm3): 8.77
SG: P2/m (10)
Calculated total energy (eV/atom): -7.45